Er5Ga4Cu: optimized geometry, PBE.

a = 3.4953 Å, b = 3.4953 Å, c = 17.9140 Å
α = 90.00°, β = 90.00°, γ = 90.00°
With the nearest neighbours (Å) after each atom.
Element x y z (fractional)
Er 0.5000 0.5000 0.0949  4 Cu 3.00, 4 Ga 3.06
Er 0.5000 0.5000 0.9051  4 Cu 3.00, 4 Ga 3.06
Er 0.5000 0.5000 0.2975  8 Ga 3.07
Er 0.5000 0.5000 0.5000  8 Ga 3.06
Er 0.5000 0.5000 0.7025  8 Ga 3.07
Ga 0.0000 0.0000 0.1959  8 Er 3.06-3.07
Ga 0.0000 0.0000 0.6006  8 Er 3.06-3.07
Ga 0.0000 0.0000 0.3994  8 Er 3.06-3.07
Ga 0.0000 0.0000 0.8041  8 Er 3.06-3.07
Cu 0.0000 0.0000 0.0000  8 Er 3.00

Its symmetry is P4/mmm, No. 123. As for the calculated formation energy: -511 meV/atom. The density of states at the Fermi level is 0.65 states/eV/atom.

=====

Sr2SbS2: optimized geometry, PBE.

a = 8.5244 Å, b = 8.5244 Å, c = 3.7574 Å
α = 90.00°, β = 90.00°, γ = 90.00°
With the nearest neighbours (Å) after each atom.
Element x y z (fractional)
Sr 0.8517 0.6483 0.0000  6 S 3.00-3.21, 2 Sb 3.25
Sr 0.3517 0.8517 0.0000  6 S 3.00-3.21, 2 Sb 3.25
Sr 0.1483 0.3517 0.0000  6 S 3.00-3.21, 2 Sb 3.25
Sr 0.6483 0.1483 0.0000  6 S 3.00-3.21, 2 Sb 3.25
S 0.8426 0.3426 0.5000  6 Sr 3.00-3.21
S 0.6574 0.8426 0.5000  6 Sr 3.00-3.21
S 0.3426 0.1574 0.5000  6 Sr 3.00-3.21
S 0.1574 0.6574 0.5000  6 Sr 3.00-3.21
Sb 0.5000 0.5000 0.0000  4 Sr 3.25
Sb 0.0000 0.0000 0.0000  4 Sr 3.25

Its symmetry is P4/mbm, No. 127. Its energy above the most stable polymorph in this dataset is 0.000 eV/atom. The density of states at the Fermi level is 0.96 states/eV/atom.

=====

CaF: optimized geometry, PBE.

a = 7.2274 Å, b = 7.2274 Å, c = 7.2274 Å
α = 90.00°, β = 90.00°, γ = 90.00°
With the nearest neighbours (Å) after each atom.
Element x y z (fractional)
F 0.6358 0.3641 0.3641  4 Ca 2.26-2.36
F 0.3641 0.6358 0.3641  4 Ca 2.26-2.36
F 0.8642 0.8642 0.1358  4 Ca 2.26-2.36
F 0.8642 0.1358 0.8642  4 Ca 2.26-2.36
F 0.6358 0.6358 0.6358  4 Ca 2.26-2.36
F 0.1358 0.8642 0.8642  4 Ca 2.26-2.36
F 0.3641 0.3641 0.6358  4 Ca 2.26-2.36
F 0.1358 0.1358 0.1358  4 Ca 2.26-2.36
Ca 0.1834 0.1834 0.8166  4 F 2.26-2.36
Ca 0.6834 0.3166 0.6834  4 F 2.26-2.36
Ca 0.6834 0.6834 0.3166  4 F 2.26-2.36
Ca 0.3166 0.3166 0.3166  4 F 2.26-2.36
Ca 0.1834 0.8166 0.1834  4 F 2.26-2.36
Ca 0.3166 0.6834 0.6834  4 F 2.26-2.36
Ca 0.8166 0.8166 0.8166  4 F 2.26-2.36
Ca 0.8166 0.1834 0.1834  4 F 2.26-2.36

Its symmetry is I-43m, No. 217. Its energy above the most stable polymorph in this dataset is 0.101 eV/atom. The density of states at the Fermi level is 0.42 states/eV/atom.

=====

TmZn3Ga3: optimized geometry, PBE.

a = 6.8573 Å, b = 6.8573 Å, c = 6.8573 Å
α = 90.00°, β = 90.00°, γ = 90.00°
With the nearest neighbours (Å) after each atom.
Element x y z (fractional)
Ga 0.7500 0.5000 0.0000  4 Zn 2.42
Ga 0.5000 0.0000 0.7500  4 Zn 2.42
Ga 0.2500 0.5000 0.0000  4 Zn 2.42
Ga 0.5000 0.0000 0.2500  4 Zn 2.42
Ga 0.0000 0.2500 0.5000  4 Zn 2.42
Ga 0.0000 0.7500 0.5000  4 Zn 2.42
Tm 0.5000 0.5000 0.5000  12 Zn 3.83, 12 Ga 3.83
Tm 0.0000 0.0000 0.0000  12 Ga 3.83, 12 Zn 3.83
Zn 0.7500 0.0000 0.5000  4 Ga 2.42
Zn 0.5000 0.7500 0.0000  4 Ga 2.42
Zn 0.0000 0.5000 0.7500  4 Ga 2.42
Zn 0.2500 0.0000 0.5000  4 Ga 2.42
Zn 0.0000 0.5000 0.2500  4 Ga 2.42
Zn 0.5000 0.2500 0.0000  4 Ga 2.42

Its symmetry is Pm-3n, No. 223. As for the calculated formation energy: 275 meV/atom. The density of states at the Fermi level is 0.58 states/eV/atom.

=====

CuSbF3: optimized geometry, PBE.

a = 4.1359 Å, b = 4.1359 Å, c = 4.1359 Å
α = 90.00°, β = 90.00°, γ = 90.00°
With the nearest neighbours (Å) after each atom.
Element x y z (fractional)
Cu 0.0000 0.0000 0.0000  6 F 2.07
Sb 0.5000 0.5000 0.5000  12 F 2.92
F 0.0000 0.0000 0.5000  2 Cu 2.07
F 0.5000 0.0000 0.0000  2 Cu 2.07
F 0.0000 0.5000 0.0000  2 Cu 2.07

Its symmetry is Pm-3m, No. 221. Its energy above the most stable polymorph in this dataset is 0.079 eV/atom. The density of states at the Fermi level is 0.92 states/eV/atom.

=====

Ba2IrBr: optimized geometry, PBE.

a = 6.4850 Å, b = 6.4850 Å, c = 5.1090 Å
α = 90.00°, β = 90.00°, γ = 37.97°
With the nearest neighbours (Å) after each atom.
Element x y z (fractional)
Br 0.4846 0.4846 0.6248  7 Ba 3.28-3.55
Ba 0.7516 0.7516 0.6252  3 Br 3.28-3.55, 4 Ir 3.31
Ba 0.0164 0.0164 0.1249  1 Ir 2.83
Ir 0.2474 0.2474 0.1251  1 Ba 2.83

Its symmetry is Amm2, No. 38. Its energy above the most stable polymorph in this dataset is 0.154 eV/atom. The density of states at the Fermi level is 0.15 states/eV/atom.

=====

no.,calculated total energy (eV/atom),volume (Å³/atom)
1,-4.413,21.9
2,-4.192,27.3
3,-4.743,23.6
4,-2.207,23.0
5,-3.841,14.1
6,-4.298,33.0